(1)
DFT (PBE-GGA) results for a relaxed NdZn2Ni5 crystal.

**Total magnetization**: 0.00 μB/cell
**E_form**: -149.7 meV per atom

a = 3.7492 Å, b = 6.4112 Å, c = 9.7844 Å
α = 90.00°, β = 90.00°, γ = 90.00°
Space group Immm (No. 71)
Asymmetric unit:
1 Nd 0.0000 0.0000 0.0000 (multiplicity 2)
2 Zn 0.0000 0.5000 0.2404 (multiplicity 4)
3 Ni 0.0000 0.1882 0.3725 (multiplicity 8)
4 Ni 0.0000 0.5000 0.0000 (multiplicity 2)



(2)
DFT (PBE-GGA) results for a relaxed NdZn2Ni2 crystal.

**Total magnetization**: 0.00 μB/cell
**E_form**: -238.7 meV per atom
**Energy above the lowest structure with this stoichiometry**: 65 meV per atom

a = 5.0781 Å, b = 9.1307 Å, c = 8.0419 Å
α = 90.00°, β = 108.34°, γ = 90.00°
Space group C2/c (No. 15)
Asymmetric unit:
1 Nd 0.0000 0.1251 0.2500 (multiplicity 4)
2 Zn 0.1202 0.3749 0.9912 (multiplicity 8)
3 Ni 0.0000 0.1946 0.7500 (multiplicity 4)
4 Ni 0.0000 0.4449 0.2500 (multiplicity 4)



(3)
DFT (PBE-GGA) results for a relaxed Nd3Zn2Ni4 crystal.

**Total magnetization**: 0.00 μB/cell
**E_form**: -367.6 meV per atom

a = 9.9192 Å, b = 4.1782 Å, c = 8.3725 Å
α = 90.00°, β = 98.93°, γ = 90.00°
Space group C2/m (No. 12)
Asymmetric unit:
1 Nd 0.0000 0.0000 0.0000 (multiplicity 2)
2 Nd 0.1246 0.5000 0.3770 (multiplicity 4)
3 Zn 0.1801 0.5000 0.7815 (multiplicity 4)
4 Ni 0.0834 0.0000 0.6347 (multiplicity 4)
5 Ni 0.2338 0.5000 0.0834 (multiplicity 4)